1.
Computed, not measured: an optimized crystal structure of Pr4Tl5Cd at the GGA-PBE level of DFT. Values from VASP.

Quantum ESPRESSO input file:
```
&SYSTEM
  ibrav = 0, nat = 10, ntyp = 3
/
ATOMIC_SPECIES
Pr 140.91 Pr.upf
Tl 204.38 Tl.upf
Cd 112.41 Cd.upf
ATOMIC_POSITIONS angstrom
Pr 1.0838 0.0000 2.0093
Pr 4.9229 0.0000 1.1261
Pr 10.4729 0.0000 5.3434
Pr 14.3120 0.0000 4.4602
Tl 0.3845 0.0000 5.3044
Tl 3.8321 0.0000 4.3249
Tl 8.4914 0.0000 0.0000
Tl 11.5637 0.0000 2.1445
Tl 15.0114 0.0000 1.1651
Cd 7.6979 0.0000 3.2347
CELL_PARAMETERS angstrom
8.4914 -2.6946 0.0000
8.4914 2.6946 0.0000
-1.5869 0.0000 6.4695
```

Computed properties:
As for the energy relative to the lowest polymorph listed for this composition: 0 meV/atom. For the total DFT energy (no corrections), the calculation gives -0.259 Ry per atom.

***

2.
Computed, not measured: an optimized crystal structure of Ta2CrReW at the GGA-PBE level of DFT. Values from VASP.

Quantum ESPRESSO input file:
```
&SYSTEM
  ibrav = 0, nat = 5, ntyp = 4
/
ATOMIC_SPECIES
Ta 180.95 Ta.upf
Cr 52.00 Cr.upf
Re 186.21 Re.upf
W 183.84 W.upf
ATOMIC_POSITIONS angstrom
Ta 0.0000 2.4181 0.0000
Ta 2.4181 0.0000 0.0000
Cr 0.0000 0.0000 2.1304
Re 2.4181 2.4181 2.1304
W 0.0000 0.0000 0.0000
CELL_PARAMETERS angstrom
4.8362 0.0000 0.0000
0.0000 4.8362 0.0000
0.0000 0.0000 4.2608
```

Computed properties:
For the total DFT energy (no corrections), the calculation gives -0.719 Ry per atom.

***

no.,E_form (eV per atom)
1,-0.338
2,1.962